# NaNdEuGa, optimized geometry, DFT PBE
# - final energy (eV for the cell shown) = -19.9
# - DFT formation energy (eV/atom) = -0.120
data_NaNdEuGa
_space_group_name_H-M_alt 'P 1'
_space_group_IT_number 1
_space_group_name_Hall 'P 1'
_cell_length_a 5.4617
_cell_length_b 5.4617
_cell_length_c 5.4617
_cell_angle_alpha 60.00
_cell_angle_beta 60.00
_cell_angle_gamma 60.00
loop_
_atom_site_label
_atom_site_fract_x
_atom_site_fract_y
_atom_site_fract_z
Eu1 0.0000 0.0000 0.0000
Na1 0.7500 0.7500 0.7500
Nd1 0.5000 0.5000 0.5000
Ga1 0.2500 0.2500 0.2500